Record 1
Ac3Y3MgTe8 | PBE-GGA | relaxed

Its space-group type is R-3m. Its calculated density is 6.31 g/cm³. The value obtained for the energy relative to the elements, uncorrected is -31.4 kcal/mol of atoms. Its total DFT energy (no corrections) is -5.256 eV/atom. The density of states at the Fermi level comes out at 3.8 states/eV per cell.

```
15
Lattice="4.4765 2.5845 7.5563 -4.4765 2.5845 7.5563 0.0000 -5.1690 7.5563" Properties=species:S:1:pos:R:3 pbc="T T T"
Ac -2.2382 -1.2922 7.5563
Ac -2.2382 1.2922 15.1126
Ac 0.0000 2.5845 7.5563
Y -4.4765 0.0000 11.3344
Y -2.2382 1.2922 3.7781
Y 2.2382 1.2922 3.7781
Mg 0.0000 0.0000 11.3344
Te 0.0000 0.0000 5.4786
Te -2.2204 -1.2820 13.0283
Te 0.0000 -2.5639 9.6406
Te -2.2204 1.2820 9.6406
Te 2.2204 -1.2820 13.0283
Te 0.0000 2.5639 13.0283
Te 2.2204 1.2820 9.6406
Te 0.0000 0.0000 17.1902
```

Record 2
TlIn2Pb8 | PBE-GGA | relaxed

Its space-group type is P4/mmm. Its calculated density is 9.90 g/cm³. The energy of formation from the pure elements is 0.40 eV/f.u. Its total DFT energy (no corrections) is -3.374 eV/atom. The density of states at the Fermi level comes out at 3.0 states/eV per cell.

```
11
Lattice="4.8910 0.0000 0.0000 0.0000 4.8910 0.0000 0.0000 0.0000 14.6701" Properties=species:S:1:pos:R:3 pbc="T T T"
Tl 0.0000 0.0000 0.0000
In 0.0000 0.0000 4.7868
In 0.0000 0.0000 9.8833
Pb 0.0000 2.4455 2.2621
Pb 0.0000 2.4455 7.3351
Pb 0.0000 2.4455 12.4080
Pb 2.4455 0.0000 2.2621
Pb 2.4455 0.0000 7.3351
Pb 2.4455 0.0000 12.4080
Pb 2.4455 2.4455 4.7627
Pb 2.4455 2.4455 9.9074
```

Record 3
Na4Pr3NdS8 | PBE-GGA | relaxed

Its space-group type is R-3m. Its calculated density is 3.79 g/cm³. The value obtained for the energy relative to the elements, uncorrected is -41.1 kcal/mol of atoms. Its total DFT energy (no corrections) is -5.372 eV/atom. The density of states at the Fermi level comes out at 0.0 states/eV per cell.

```
16
Lattice="4.1580 2.4006 6.7028 -4.1580 2.4006 6.7028 0.0000 -4.8013 6.7028" Properties=species:S:1:pos:R:3 pbc="T T T"
Na 0.0000 0.0000 0.0000
Na -2.0790 -1.2003 6.7028
Na -2.0790 1.2003 13.4056
Na 0.0000 2.4006 6.7028
Pr -4.1580 0.0000 10.0542
Pr -2.0790 1.2003 3.3514
Pr 2.0790 1.2003 3.3514
Nd 0.0000 0.0000 10.0542
S 0.0000 0.0000 4.9259
S -2.0681 -1.1940 11.6234
S 0.0000 -2.3880 8.4850
S -2.0681 1.1940 8.4850
S 2.0681 -1.1940 11.6234
S 0.0000 2.3880 11.6234
S 2.0681 1.1940 8.4850
S 0.0000 0.0000 15.1825
```

Record 4
Ce2Hg4Pb | PBE-GGA | relaxed

Its space-group type is R-3m. Its calculated density is 11.22 g/cm³. The energy of formation from the pure elements is -1.93 eV/f.u. Its total DFT energy (no corrections) is -2.673 eV/atom. The density of states at the Fermi level comes out at 15.2 states/eV per cell. The value obtained for the relative energy among the computed polymorphs is 0 meV per atom.

```
7
Lattice="2.6541 1.5323 7.8202 -2.6541 1.5323 7.8202 0.0000 -3.0647 7.8202" Properties=species:S:1:pos:R:3 pbc="T T T"
Ce 0.0000 0.0000 5.3261
Ce 0.0000 0.0000 18.1343
Hg 0.0000 0.0000 1.5996
Hg 0.0000 0.0000 8.5548
Hg 0.0000 0.0000 14.9057
Hg 0.0000 0.0000 21.8609
Pb 0.0000 0.0000 11.7302
```

Record 5
HfMn4Cu | PBE-GGA | relaxed

Its space-group type is F-43m. Its calculated density is 9.96 g/cm³. The energy of formation from the pure elements is 0.14 eV/f.u. Its total DFT energy (no corrections) is -8.431 eV/atom. The density of states at the Fermi level comes out at 5.1 states/eV per cell.

```
6
Lattice="0.0000 3.3759 3.3759 3.3759 0.0000 3.3759 3.3759 3.3759 0.0000" Properties=species:S:1:pos:R:3 pbc="T T T"
Hf 0.0000 0.0000 0.0000
Mn 4.2096 2.5422 2.5422
Mn 2.5422 4.2096 2.5422
Mn 2.5422 2.5422 4.2096
Mn 4.2096 4.2096 4.2096
Cu 1.6880 1.6880 1.6880
```

Record 6
Hf2Cr2Te | PBE-GGA | relaxed

Its space-group type is I4/mmm. Its calculated density is 9.04 g/cm³. The value obtained for the energy relative to the elements, uncorrected is 14.1 kcal/mol of atoms. Its total DFT energy (no corrections) is -7.846 eV/atom. The density of states at the Fermi level comes out at 4.2 states/eV per cell. The value obtained for the relative energy among the computed polymorphs is 548 meV per atom.

```
5
Lattice="-2.1008 2.1008 6.1227 2.1008 -2.1008 6.1227 2.1008 2.1008 -6.1227" Properties=species:S:1:pos:R:3 pbc="T T T"
Hf 2.1008 0.0000 3.0614
Hf 0.0000 2.1008 3.0614
Cr 0.0000 0.0000 1.2859
Cr 0.0000 0.0000 10.9596
Te 0.0000 0.0000 6.1227
```